1.
DFT (PBE) results for a geometry-optimized CaGeB2O6 structure.

E   -7.320 eV/atom
Formation energy from raw total energies   -2.347 eV/atom
Spin magnetization   0.00 μB/atom

Structure (extended XYZ):
```
20
Lattice="4.0384 -4.4775 0.0000 4.0384 4.4775 0.0000 -1.5306 0.0000 5.8316" Properties=species:S:1:pos:R:3 pbc="T T T"
Ca 2.8904 3.4969 4.3737
Ca 3.6557 -3.4969 1.4579
Ge 3.6557 1.6830 1.4579
Ge 2.8904 -1.6830 4.3737
B 1.1494 0.8288 4.6561
B 1.9147 -0.8288 1.7403
B 4.6315 0.8288 4.0913
B 5.3968 -0.8288 1.1755
O 2.4800 3.2166 1.8835
O 1.8682 1.7178 5.4237
O 2.1643 0.5125 1.5862
O 4.8315 3.2166 1.0323
O 1.3990 -0.5125 4.5021
O 3.9127 1.7178 3.3238
O 2.6335 -1.7178 2.5079
O 5.1471 0.5125 1.3296
O 1.7147 -3.2166 4.7993
O 4.3818 -0.5125 4.2454
O 4.6780 -1.7178 0.4079
O 4.0662 -3.2166 3.9481
```

2.
DFT (PBE) results for a geometry-optimized Pm2BeSiPt6 structure.

E   -6.395 eV/atom
Formation energy from raw total energies   -0.905 eV/atom
Spin magnetization   0.00 μB/atom

Structure (extended XYZ):
```
10
Lattice="2.8949 1.6714 6.2976 -2.8949 1.6714 6.2976 0.0000 -3.3428 6.2976" Properties=species:S:1:pos:R:3 pbc="T T T"
Pm 0.0000 0.0000 4.0501
Pm 0.0000 0.0000 14.8426
Be 0.0000 0.0000 0.0000
Si 0.0000 0.0000 9.4464
Pt 0.0000 -1.6017 7.6007
Pt -1.3871 0.8008 7.6007
Pt -1.3871 -0.8008 11.2920
Pt 1.3871 0.8008 7.6007
Pt 1.3871 -0.8008 11.2920
Pt 0.0000 1.6017 11.2920
```

3.
DFT (PBE) results for a geometry-optimized Rb2CaSO6 structure.

E   -5.166 eV/atom
Formation energy from raw total energies   -1.384 eV/atom
Spin magnetization   0.20 μB/atom

Structure (extended XYZ):
```
10
Lattice="6.3293 0.0000 0.0000 -3.1646 5.4813 0.0000 0.0000 0.0000 5.7602" Properties=species:S:1:pos:R:3 pbc="T T T"
Rb 0.0000 3.6542 2.1211
Rb 3.1647 1.8271 3.6391
Ca 0.0000 0.0000 0.0000
S 0.0000 0.0000 2.8801
O 0.0000 1.3563 3.8519
O -1.9900 4.8032 3.8519
O 1.1746 0.6782 1.9082
O 1.9900 4.8032 3.8519
O 5.1547 0.6782 1.9082
O 3.1647 4.1250 1.9082
```

4.
DFT (PBE) results for a geometry-optimized Mg3ZnSn structure.

E   -1.609 eV/atom
ΔH_f (0 K)   0.403 eV/atom
Spin magnetization   0.00 μB/atom

Structure (extended XYZ):
```
5
Lattice="5.4059 0.0000 0.0000 0.0000 5.4059 0.0000 0.0000 0.0000 5.4059" Properties=species:S:1:pos:R:3 pbc="T T T"
Mg 0.0000 0.0000 2.7029
Mg 0.0000 2.7029 0.0000
Mg 2.7029 0.0000 0.0000
Zn 2.7029 2.7029 2.7029
Sn 0.0000 0.0000 0.0000
```

5.
DFT (PBE) results for a geometry-optimized CeNi7Sn2As2 structure.

E   -5.448 eV/atom
ΔH_f (0 K)   -0.139 eV/atom
Spin magnetization   0.00 μB/atom

Structure (extended XYZ):
```
12
Lattice="2.5880 -3.2808 0.0000 2.5880 3.2808 0.0000 -0.4318 0.0000 11.8647" Properties=species:S:1:pos:R:3 pbc="T T T"
Ce 0.0000 0.0000 0.0000
Ni 1.2379 1.2230 9.8839
Ni 1.5965 0.0000 4.9586
Ni 1.2379 -1.2230 9.8839
Ni 2.5880 0.0000 0.0000
Ni 3.5062 1.2230 1.9808
Ni 3.1476 0.0000 6.9062
Ni 3.5062 -1.2230 1.9808
Sn 0.5685 0.0000 7.3443
Sn 4.1756 0.0000 4.5204
As 1.5930 0.0000 2.6546
As 3.1511 0.0000 9.2101
```

6.
DFT (PBE) results for a geometry-optimized Er3Cu5Te12 structure.

E   -4.000 eV/atom
Formation energy from raw total energies   -0.407 eV/atom
Spin magnetization   0.00 μB/atom

Structure (extended XYZ):
```
80
Lattice="-8.2824 8.2824 8.2824 8.2824 -8.2824 8.2824 8.2824 8.2824 -8.2824" Properties=species:S:1:pos:R:3 pbc="T T T"
Er 4.1412 2.0706 0.0000
Er 8.2824 4.1412 -2.0706
Er 2.0706 0.0000 4.1412
Er 10.3530 0.0000 4.1412
Er 0.0000 4.1412 2.0706
Er 4.1412 -2.0706 8.2824
Er 4.1412 10.3530 0.0000
Er 8.2824 4.1412 6.2118
Er -2.0706 8.2824 4.1412
Er 6.2118 8.2824 4.1412
Er 0.0000 4.1412 10.3530
Er 4.1412 6.2118 8.2824
Cu 0.0000 0.0000 0.0000
Cu 4.1412 4.1412 -4.1412
Cu 4.1412 -4.1412 4.1412
Cu 8.2824 0.0000 0.0000
Cu 12.4235 2.0706 0.0000
Cu 8.2824 -4.1412 6.2118
Cu 6.2118 8.2824 -4.1412
Cu 6.2118 0.0000 4.1412
Cu 4.1412 6.2118 0.0000
Cu 8.2824 4.1412 2.0706
Cu -4.1412 4.1412 4.1412
Cu 0.0000 8.2824 0.0000
Cu 0.0000 0.0000 8.2824
Cu 4.1412 4.1412 4.1412
Cu 0.0000 4.1412 6.2118
Cu 4.1412 2.0706 8.2824
Cu 2.0706 8.2824 4.1412
Cu 2.0706 0.0000 12.4235
Cu 0.0000 12.4235 2.0706
Cu -4.1412 6.2118 8.2824
Te 2.4750 -0.4281 1.0082
Te 9.9485 5.1494 -4.5693
Te 10.7574 0.4281 1.0082
Te 9.9485 -3.1330 4.5693
Te 7.8542 -1.0082 2.4750
Te 12.8517 -1.6661 3.1330
Te 1.0082 2.4750 -0.4281
Te 11.4153 3.7130 -1.6661
Te 5.1494 4.5693 -1.6661
Te 7.2742 2.4750 0.4281
Te -0.4281 1.0082 2.4750
Te 4.5693 -1.6661 5.1494
Te 7.8542 7.2742 -2.4750
Te 4.5693 1.6661 3.1330
Te 5.1494 -4.5693 9.9485
Te 7.2742 -2.4750 7.8542
Te 3.1330 4.5693 1.6661
Te 9.2906 5.8073 0.4281
Te 4.5693 9.9485 -3.1330
Te 7.8542 1.0082 5.8073
Te 2.4750 7.8542 -1.0082
Te 9.9485 3.1330 3.7130
Te 1.6661 3.1330 4.5693
Te 2.4750 0.4281 7.2742
Te 5.8073 7.8542 1.0082
Te 6.6162 5.1494 3.7130
Te -1.6661 5.1494 4.5693
Te 5.8073 0.4281 9.2906
Te 0.4281 7.2742 2.4750
Te 3.7130 -1.6661 11.4153
Te -1.0082 2.4750 7.8542
Te 5.1494 3.7130 6.6162
Te 1.0082 10.7574 0.4281
Te 3.1330 12.8517 -1.6661
Te 3.7130 6.6162 5.1494
Te 0.4281 1.0082 10.7574
Te 3.7130 9.9485 3.1330
Te 8.7105 7.2742 5.8073
Te 1.0082 5.8073 7.8542
Te 3.1330 3.7130 9.9485
Te -3.1330 4.5693 9.9485
Te 7.2742 5.8073 8.7105
Te -4.5693 9.9485 5.1494
Te 0.4281 9.2906 5.8073
Te -1.6661 11.4153 3.7130
Te -2.4750 7.8542 7.2742
Te -1.6661 3.1330 12.8517
Te 5.8073 8.7105 7.2742
```

7.
DFT (PBE) results for a geometry-optimized Ag2BC2O6 structure.

E   -6.241 eV/atom
Formation energy from raw total energies   -0.734 eV/atom
Spin magnetization   0.00 μB/atom

Structure (extended XYZ):
```
11
Lattice="5.9389 -2.1869 0.0000 5.9389 2.1869 0.0000 -0.8662 0.0000 5.9713" Properties=species:S:1:pos:R:3 pbc="T T T"
Ag 2.4816 0.0000 0.7621
Ag 8.5301 0.0000 5.2091
B -0.4331 0.0000 2.9856
C 4.7970 0.0000 4.0972
C 6.2146 0.0000 1.8741
O 5.5074 1.1171 1.8552
O 5.5043 1.1171 4.1161
O 3.5455 0.0000 4.1570
O 7.4661 0.0000 1.8143
O 5.5074 -1.1171 1.8552
O 5.5043 -1.1171 4.1161
```

8.
DFT (PBE) results for a geometry-optimized AcAlZn4Au2 structure.

E   -2.707 eV/atom
ΔH_f (0 K)   -0.269 eV/atom
Spin magnetization   0.00 μB/atom

Structure (extended XYZ):
```
8
Lattice="2.2138 1.2781 9.4054 -2.2138 1.2781 9.4054 0.0000 -2.5563 9.4054" Properties=species:S:1:pos:R:3 pbc="T T T"
Ac 0.0000 0.0000 0.0000
Al 0.0000 0.0000 14.1082
Zn 0.0000 0.0000 3.6166
Zn 0.0000 0.0000 11.4027
Zn 0.0000 0.0000 16.8136
Zn 0.0000 0.0000 24.5997
Au 0.0000 0.0000 6.7820
Au 0.0000 0.0000 21.4343
```

9.
DFT (PBE) results for a geometry-optimized NaPmCuBi structure.

E   -3.760 eV/atom
ΔH_f (0 K)   -0.248 eV/atom
Spin magnetization   0.00 μB/atom

Structure (extended XYZ):
```
4
Lattice="0.0000 3.7284 3.7284 3.7284 0.0000 3.7284 3.7284 3.7284 0.0000" Properties=species:S:1:pos:R:3 pbc="T T T"
Na 0.0000 0.0000 0.0000
Pm 3.7284 3.7284 3.7284
Cu 1.8642 1.8642 1.8642
Bi 5.5925 5.5925 5.5925
```

10.
DFT (PBE) results for a geometry-optimized LaYAl2Co structure.

E   -5.460 eV/atom
ΔH_f (0 K)   -0.263 eV/atom
Spin magnetization   0.00 μB/atom

Structure (extended XYZ):
```
5
Lattice="4.7340 0.0000 0.0000 0.0000 4.7340 0.0000 0.0000 0.0000 4.9973" Properties=species:S:1:pos:R:3 pbc="T T T"
La 0.0000 0.0000 0.0000
Y 2.3670 2.3670 0.0000
Al 0.0000 2.3670 2.4986
Al 2.3670 0.0000 2.4986
Co 2.3670 2.3670 2.4986
```

11.
DFT (PBE) results for a geometry-optimized NaInTe2 structure.

E   -3.152 eV/atom
Formation energy from raw total energies   -0.567 eV/atom
Spin magnetization   0.00 μB/atom

Structure (extended XYZ):
```
32
Lattice="6.2085 -6.1669 0.0000 6.2085 6.1669 0.0000 -2.3964 0.0000 15.6042" Properties=species:S:1:pos:R:3 pbc="T T T"
Na 3.7854 4.4660 14.1101
Na 5.0370 4.4660 9.2961
Na 2.9296 0.0378 5.6662
Na 1.7314 -0.0378 13.4683
Na 8.2892 0.0378 2.1359
Na 7.0910 -0.0378 9.9380
Na 4.9836 -4.4660 6.3080
Na 6.2352 -4.4660 1.4940
In 3.9716 4.0174 5.4440
In 4.1584 1.0426 2.2766
In 7.2472 4.0174 2.3581
In 2.9602 -1.0426 10.0787
In 7.0604 1.0426 5.5255
In 2.7734 -4.0174 13.2460
In 5.8622 -1.0426 13.3276
In 6.0490 -4.0174 10.1602
Te 2.2839 2.6441 3.6568
Te 5.6094 5.7300 3.9010
Te 1.1143 0.3374 8.3794
Te 2.3125 -0.3374 0.5773
Te 5.0621 2.1025 7.2111
Te 6.1566 2.1025 0.5910
Te 4.4112 0.7910 11.7031
Te 1.0857 -2.6441 11.4588
Te 8.9349 2.6441 4.1453
Te 5.6094 -0.7910 3.9010
Te 3.8640 -2.1025 15.0132
Te 4.9585 -2.1025 8.3931
Te 7.7081 0.3374 15.0269
Te 8.9063 -0.3374 7.2248
Te 4.4112 -5.7300 11.7031
Te 7.7367 -2.6441 11.9474
```

12.
DFT (PBE) results for a geometry-optimized SrVPb2 structure.

E   -4.226 eV/atom
ΔH_f (0 K)   0.328 eV/atom
Spin magnetization   0.67 μB/atom

Structure (extended XYZ):
```
8
Lattice="-2.7241 2.7241 9.4257 2.7241 -2.7241 9.4257 2.7241 2.7241 -9.4257" Properties=species:S:1:pos:R:3 pbc="T T T"
Sr 0.0000 0.0000 0.0000
Sr 0.0000 2.7241 4.7129
V 2.7241 0.0000 4.7129
V 0.0000 0.0000 9.4257
Pb 1.3620 -0.7492 7.0693
Pb 1.9749 1.3620 2.3564
Pb 1.3620 3.4733 -2.3564
Pb 0.7492 1.3620 11.7821
```